The following is a DFT calculation (PBE+U) of a relaxed structure of ReWI2O.

Computed properties:
energy relative to the lowest polymorph listed for this composition: 0.00 kcal/mol of atoms
total magnetization: 4.6 μB per formula unit
total energy: -24.93 eV/f.u.

POSCAR file:
```
ReWI2O
1.0
-2.948 2.777 3.921
-4.158 0.831 -3.715
-1.611 -3.234 1.080
I Re O W
2 1 1 1
Direct
0.000 0.500 0.000
0.500 0.000 0.000
0.000 0.000 0.000
0.000 0.000 0.500
0.500 0.500 0.500
```